[1]
Entry from Alexandria: a relaxed structure of Sc3Ni8Sn (PBE).

Output
The calculated total energy is -0.2294 hartree per atom. Its formation energy is -0.4718 eV/atom. The density of states at the Fermi level is 10.18 states/eV/f.u.

Unit cell a=4.8841 b=4.8841 c=24.0291 alpha=90.00 beta=90.00 gamma=120.00
Closest atoms and distances in Å follow each position.
Space group R3m (No. 160, hexagonal axes)
One atom of each set of equivalent atoms:
Sc1 0.0000 0.0000 0.0000 [3 per cell]  12 Ni 2.85-2.86, 4 Sc 3.01-3.04
Sc2 0.0000 0.0000 0.1264 [3 per cell]  12 Ni 2.86-2.90, 3 Sn 2.96, 1 Sc 3.04
Sc3 0.0000 0.0000 0.6223 [3 per cell]  12 Ni 2.82-2.90, 1 Sn 2.99, 3 Sc 3.01
Ni1 0.0000 0.0000 0.3129 [3 per cell]  6 Ni 2.42-2.44
Ni2 0.0000 0.0000 0.8124 [3 per cell]  6 Ni 2.47
Ni3 0.0007 0.5004 0.5635 [9 per cell]  6 Ni 2.44-2.47
Ni4 0.1672 0.3344 0.3946 [9 per cell]  6 Ni 2.42-2.47
Sn1 0.0000 0.0000 0.4977 [3 per cell]  12 Ni 2.85-2.91, 4 Sc 2.96-2.99

***

[2]
Entry from Alexandria: a relaxed structure of LaPmCu4 (PBE).

Output
The calculated total energy is -0.1625 hartree per atom. Its formation energy is -0.0784 eV/atom. The density of states at the Fermi level is 5.29 states/eV/f.u.

Unit cell a=7.6124 b=7.6124 c=7.6124 alpha=90.00 beta=90.00 gamma=90.00
Closest atoms and distances in Å follow each position.
Space group F-43m (No. 216)
One atom of each set of equivalent atoms:
La1 0.0000 0.0000 0.0000 [4 per cell]  12 Cu 3.16, 4 Pm 3.30
Pm1 0.2500 0.2500 0.7500 [4 per cell]  12 Cu 3.15, 4 La 3.30
Cu1 0.1242 0.1242 0.3758 [16 per cell]  6 Cu 2.67-2.71

***

[3]
Entry from Alexandria: a relaxed structure of Tb2NdIn (PBE).

Output
The calculated total energy is -0.1523 hartree per atom. Its formation energy is 0.0477 eV/atom. The density of states at the Fermi level is 6.97 states/eV/f.u.

Unit cell a=3.5096 b=3.5096 c=35.9109 alpha=90.00 beta=90.00 gamma=120.00
Closest atoms and distances in Å follow each position.
Space group R-3m (No. 166, hexagonal axes)
One atom of each set of equivalent atoms:
Tb1 0.0000 0.0000 0.0964 [6 per cell]  3 In 3.24, 1 Nd 3.46, 6 Tb 3.51
Nd1 0.0000 0.0000 0.0000 [3 per cell]  2 Tb 3.46, 6 Nd 3.51
In1 0.0000 0.0000 0.5000 [3 per cell]  6 Tb 3.24, 6 In 3.51

***

[4]
Entry from Alexandria: a relaxed structure of Ce2ZrHg (PBE).

Output
The calculated total energy is -0.1933 hartree per atom. Its formation energy is -0.0799 eV/atom. The density of states at the Fermi level is 9.11 states/eV/f.u.

Unit cell a=3.2014 b=3.2014 c=9.9659 alpha=90.00 beta=90.00 gamma=90.00
Closest atoms and distances in Å follow each position.
Space group P4/mmm (No. 123)
One atom of each set of equivalent atoms:
Ce1 0.0000 0.0000 0.2478 [2 per cell]  4 Ce 3.20, 4 Hg 3.35, 4 Zr 3.38
Zr1 0.5000 0.5000 0.5000 [1 per cell]  4 Zr 3.20, 8 Ce 3.38
Hg1 0.5000 0.5000 0.0000 [1 per cell]  4 Hg 3.20, 8 Ce 3.35

***

[5]
Entry from Alexandria: a relaxed structure of Cu7Ge3 (PBE).

Output
The calculated total energy is -0.1545 hartree per atom. Its formation energy is 0.0483 eV/atom. The density of states at the Fermi level is 3.67 states/eV/f.u.

Unit cell a=13.4698 b=3.7565 c=5.3756 alpha=90.00 beta=102.57 gamma=90.00
Closest atoms and distances in Å follow each position.
Space group C2/m (No. 12)
One atom of each set of equivalent atoms:
Cu1 0.0000 0.0000 0.0000 [2 per cell]  4 Ge 2.56-2.69, 8 Cu 2.64-2.66
Cu2 0.0959 0.5000 0.3069 [4 per cell]  8 Cu 2.60-2.69, 4 Ge 2.61-2.62
Cu3 0.1016 0.5000 0.8098 [4 per cell]  7 Cu 2.60-2.69, 5 Ge 2.65-2.69
Cu4 0.2004 0.0000 0.6091 [4 per cell]  5 Ge 2.59-2.79, 7 Cu 2.66-2.72
Ge1 0.0000 0.0000 0.5000 [2 per cell]  12 Cu 2.62-2.69
Ge2 0.1943 0.0000 0.1238 [4 per cell]  10 Cu 2.56-2.79

***

[6]
Entry from Alexandria: a relaxed structure of BePt (PBE).

Output
The calculated total energy is -0.1724 hartree per atom. Its formation energy is 0.1921 eV/atom. The density of states at the Fermi level is 0.26 states/eV/f.u.

Unit cell a=6.9618 b=6.9618 c=6.9618 alpha=90.00 beta=90.00 gamma=90.00
Closest atoms and distances in Å follow each position.
Space group I-43m (No. 217)
One atom of each set of equivalent atoms:
Be1 0.1729 0.1729 0.1729 [8 per cell]  4 Pt 2.16-2.25
Pt1 0.1476 0.1476 0.8524 [8 per cell]  4 Be 2.16-2.25

***

[7]
Entry from Alexandria: a relaxed structure of GaSbPb2 (PBE).

Output
The calculated total energy is -0.1299 hartree per atom. The density of states at the Fermi level is 1.82 states/eV/f.u.

Unit cell a=4.9137 b=4.9137 c=17.7493 alpha=90.00 beta=90.00 gamma=120.00
Closest atoms and distances in Å follow each position.
Space group R3m (No. 160, hexagonal axes)
One atom of each set of equivalent atoms:
Ga1 0.0000 0.0000 0.0000 [3 per cell]  1 Sb 2.97, 6 Pb 3.07-3.13
Sb1 0.0000 0.0000 0.8326 [3 per cell]  1 Ga 2.97, 3 Pb 3.28
Pb1 0.0000 0.0000 0.3992 [3 per cell]  3 Ga 3.07, 3 Sb 3.35, 1 Pb 3.43
Pb2 0.0000 0.0000 0.5924 [3 per cell]  3 Ga 3.13, 3 Sb 3.28, 1 Pb 3.43

***

[8]
Entry from Alexandria: a relaxed structure of TmTaSe2 (PBE).

Output
The calculated total energy is -0.2358 hartree per atom. The density of states at the Fermi level is 2.40 states/eV/f.u.

Unit cell a=3.4906 b=3.4906 c=27.1908 alpha=90.00 beta=90.00 gamma=120.00
Closest atoms and distances in Å follow each position.
Space group R-3m (No. 166, hexagonal axes)
One atom of each set of equivalent atoms:
Tm1 0.0000 0.0000 0.0000 [3 per cell]  2 Se 2.84
Ta1 0.0000 0.0000 0.5000 [3 per cell]  6 Se 2.63
Se1 0.0000 0.0000 0.1043 [6 per cell]  3 Ta 2.63, 1 Tm 2.84